DFT (PBE+U) results for crystalline FeGe2PdO6 at its relaxed geometry.

Results
volume	122.5	Å³/f.u.
E	-6.226	eV/atom

a b c (Å): 6.8302 6.8302 5.3700
angles (deg): 98.32 98.32 85.95
Closest atoms and distances in Å follow each position.
Element x y z (fractional)
Fe 0.0947 0.9053 0.7500  6 O 2.10-2.21
Fe 0.9053 0.0947 0.2500  6 O 2.10-2.21
Ge 0.2050 0.3907 0.7170  4 O 1.74-1.82
Ge 0.3907 0.2050 0.2170  4 O 1.74-1.82
Ge 0.6093 0.7950 0.7830  4 O 1.74-1.82
Ge 0.7950 0.6093 0.2830  4 O 1.74-1.82
Pd 0.2741 0.7259 0.2500  6 O 2.21-2.41
Pd 0.7259 0.2741 0.7500  6 O 2.21-2.41
O 0.0297 0.2038 0.6370  1 Ge 1.78
O 0.1290 0.6218 0.8624  1 Ge 1.74
O 0.2038 0.0297 0.1370  1 Ge 1.78
O 0.2979 0.4168 0.4221  2 Ge 1.82
O 0.3782 0.8710 0.6376  1 Ge 1.74
O 0.4168 0.2979 0.9221  2 Ge 1.82
O 0.5832 0.7021 0.0779  2 Ge 1.82
O 0.6218 0.1290 0.3624  1 Ge 1.74
O 0.7021 0.5832 0.5779  2 Ge 1.82
O 0.7962 0.9703 0.8630  1 Ge 1.78
O 0.8710 0.3782 0.1376  1 Ge 1.74
O 0.9703 0.7962 0.3630  1 Ge 1.78